1.
Computed, not measured: a geometry-optimized BaAc2Ce structure at the PBE level of DFT.

Lattice parameters (Å, degrees): 13.8796 13.8796 13.8796 16.03 16.03 16.03
With the nearest neighbours (Å) after each atom.
Sites, in units of the cell vectors:
Ba1 0.0000 0.0000 0.0000  6 Ba 3.87, 2 Ac 3.87
Ac1 0.0942 0.0942 0.0942  3 Ce 3.72, 6 Ac 3.87, 1 Ba 3.87
Ac2 0.9058 0.9058 0.9058  3 Ce 3.72, 6 Ac 3.87, 1 Ba 3.87
Ce1 0.5000 0.5000 0.5000  6 Ac 3.72, 6 Ce 3.87

Values from the calculation:
As for the density of states at the Fermi level: 2.19 states/eV per atom. The calculation puts the magnetization at 0.86 μB/f.u. The energy relative to the elements is 22.2 kJ/mol of atoms. The relative energy among the computed polymorphs is 105 meV per atom.



2.
Computed, not measured: a geometry-optimized Ho6Te3Pb structure at the PBE level of DFT.

Lattice parameters (Å, degrees): 12.1630 4.0881 12.5340 90.00 104.34 90.00
With the nearest neighbours (Å) after each atom.
Sites, in units of the cell vectors:
Ho1 0.0130 0.2500 0.3534  4 Te 3.13-3.19
Ho2 0.0797 0.2500 0.8821  4 Te 3.00-3.15
Ho3 0.2502 0.7500 0.2969  3 Te 3.05-3.07, 2 Pb 3.19
Ho4 0.2878 0.7500 0.7630  3 Te 3.09-3.11
Ho5 0.3779 0.2500 0.5395  3 Pb 3.14-3.21, 2 Te 3.18
Ho6 0.4532 0.7500 0.1216  3 Te 2.97-3.03, 2 Pb 3.14
Ho7 0.5468 0.2500 0.8784  3 Te 2.97-3.03, 2 Pb 3.14
Ho8 0.6221 0.7500 0.4605  3 Pb 3.14-3.21, 2 Te 3.18
Ho9 0.7122 0.2500 0.2370  3 Te 3.09-3.11
Ho10 0.7498 0.2500 0.7031  3 Te 3.05-3.07, 2 Pb 3.19
Ho11 0.9203 0.7500 0.1179  4 Te 3.00-3.15
Ho12 0.9870 0.7500 0.6466  4 Te 3.13-3.19
Te1 0.1107 0.2500 0.1394  6 Ho 3.05-3.19
Te2 0.1722 0.7500 0.5119  7 Ho 3.07-3.18
Te3 0.3340 0.2500 0.9539  6 Ho 2.97-3.09
Te4 0.6660 0.7500 0.0461  6 Ho 2.97-3.09
Te5 0.8278 0.2500 0.4881  7 Ho 3.07-3.18
Te6 0.8893 0.7500 0.8606  6 Ho 3.05-3.19
Pb1 0.4553 0.2500 0.3127  8 Ho 3.14-3.48
Pb2 0.5447 0.7500 0.6873  8 Ho 3.14-3.48

Values from the calculation:
As for the raw formation energy: -0.81 eV per atom. As for the density of states at the Fermi level: 0.98 states/eV per atom. The calculation puts the magnetization at 0.00 μB/f.u.



3.
Computed, not measured: a geometry-optimized Yb4ZrCo33 structure at the PBE level of DFT.

Lattice parameters (Å, degrees): 8.3311 8.3311 8.1266 90.00 90.00 120.00
With the nearest neighbours (Å) after each atom.
Sites, in units of the cell vectors:
Yb1 0.0000 0.0000 0.0000  12 Co 2.89-3.06
Yb2 0.0000 0.0000 0.4946  18 Co 2.95-3.27
Yb3 0.3333 0.6667 0.9992  20 Co 2.88-3.13
Yb4 0.6667 0.3333 0.4874  10 Co 2.69-3.01, 1 Zr 3.01
Zr1 0.6667 0.3333 0.8583  4 Co 2.42-2.65
Co1 0.0011 0.5005 0.2472  10 Co 2.40-2.55
Co2 0.0126 0.5063 0.7480  9 Co 2.37-2.49, 1 Zr 2.65
Co3 0.0465 0.3752 0.4989  8 Co 2.35-2.57
Co4 0.0465 0.6713 0.4989  8 Co 2.35-2.57
Co5 0.1662 0.3323 0.7689  9 Co 2.37-2.64
Co6 0.1662 0.8338 0.7689  9 Co 2.37-2.64
Co7 0.1675 0.3350 0.2313  9 Co 2.40-2.59
Co8 0.1675 0.8325 0.2313  9 Co 2.40-2.59
Co9 0.3240 0.1620 0.7209  8 Co 2.40-2.59
Co10 0.3287 0.3752 0.4989  8 Co 2.35-2.57
Co11 0.3287 0.9535 0.4989  8 Co 2.35-2.57
Co12 0.3331 0.1666 0.2687  9 Co 2.42-2.57
Co13 0.3333 0.6667 0.3541  4 Co 2.31-2.55
Co14 0.3333 0.6667 0.6384  4 Co 2.31-2.48
Co15 0.3647 0.0378 0.0003  8 Co 2.40-2.59
Co16 0.3647 0.3269 0.0003  8 Co 2.40-2.59
Co17 0.4937 0.5063 0.7480  9 Co 2.37-2.49, 1 Zr 2.65
Co18 0.4937 0.9874 0.7480  9 Co 2.37-2.49, 1 Zr 2.65
Co19 0.4995 0.5005 0.2472  10 Co 2.40-2.55
Co20 0.4995 0.9989 0.2472  10 Co 2.40-2.55
Co21 0.6248 0.6713 0.4989  8 Co 2.35-2.57
Co22 0.6248 0.9535 0.4989  8 Co 2.35-2.57
Co23 0.6650 0.8325 0.2313  9 Co 2.40-2.59
Co24 0.6667 0.3333 0.1561  1 Zr 2.42, 6 Co 2.52-2.57, 1 Yb 2.69
Co25 0.6677 0.8338 0.7689  9 Co 2.37-2.64
Co26 0.6731 0.0378 0.0003  8 Co 2.40-2.59
Co27 0.6731 0.6353 0.0003  8 Co 2.40-2.59
Co28 0.8334 0.1666 0.2687  9 Co 2.42-2.57
Co29 0.8334 0.6669 0.2687  9 Co 2.42-2.57
Co30 0.8380 0.1620 0.7209  8 Co 2.40-2.59
Co31 0.8380 0.6760 0.7209  8 Co 2.40-2.59
Co32 0.9622 0.3269 0.0003  8 Co 2.40-2.59
Co33 0.9622 0.6353 0.0003  8 Co 2.40-2.59

Values from the calculation:
As for the density of states at the Fermi level: 1.41 states/eV per atom. The calculation puts the magnetization at 49.43 μB/f.u. The energy relative to the elements is -4.1 kJ/mol of atoms.



4.
Computed, not measured: a geometry-optimized LiYPb structure at the PBE level of DFT.

Lattice parameters (Å, degrees): 5.0481 5.0481 6.9572 90.00 90.00 120.00
With the nearest neighbours (Å) after each atom.
Sites, in units of the cell vectors:
Li1 0.0000 0.0000 0.0000  4 Pb 3.03-3.07, 3 Li 3.06
Li2 0.3333 0.6667 0.8640  3 Li 3.06, 4 Y 3.19-3.22, 3 Pb 3.41
Y1 0.3333 0.6667 0.3228  1 Li 3.19, 6 Pb 3.24-3.35
Y2 0.6667 0.3333 0.6679  4 Pb 3.01-3.14, 3 Li 3.22
Pb1 0.0000 0.0000 0.5588  6 Y 3.01-3.35, 1 Li 3.07
Pb2 0.6667 0.3333 0.1186  3 Li 3.03, 4 Y 3.14-3.24

Values from the calculation:
As for the density of states at the Fermi level: 0.07 states/eV per atom. The calculation puts the magnetization at 0.00 μB/f.u. The energy relative to the elements is -40.2 kJ/mol of atoms.



5.
Computed, not measured: a geometry-optimized La3TbHo6 structure at the PBE level of DFT.

Lattice parameters (Å, degrees): 6.9205 6.9205 6.9205 91.70 91.70 91.70
With the nearest neighbours (Å) after each atom.
Sites, in units of the cell vectors:
La1 0.0000 0.0000 0.0000  2 La 2.88
La2 0.2481 0.2481 0.2481  1 La 2.88, 1 Tb 2.93
La3 0.7519 0.7519 0.7519  1 La 2.88, 1 Tb 2.93
Tb1 0.5000 0.5000 0.5000  2 La 2.93
Ho1 0.0765 0.4258 0.7458  2 La 3.23-3.51, 1 Tb 3.46
Ho2 0.2542 0.9235 0.5742  2 La 3.23-3.51, 1 Tb 3.46
Ho3 0.4258 0.7458 0.0765  2 La 3.23-3.51, 1 Tb 3.46
Ho4 0.5742 0.2542 0.9235  2 La 3.23-3.51, 1 Tb 3.46
Ho5 0.7458 0.0765 0.4258  2 La 3.23-3.51, 1 Tb 3.46
Ho6 0.9235 0.5742 0.2542  2 La 3.23-3.51, 1 Tb 3.46

Values from the calculation:
As for the density of states at the Fermi level: 2.22 states/eV per atom. The calculation puts the magnetization at 0.00 μB/f.u. The energy relative to the elements is 28.0 kJ/mol of atoms. The relative energy among the computed polymorphs is 137 meV per atom.



6.
Computed, not measured: a geometry-optimized Cs2AcNdS4 structure at the PBE level of DFT.

Lattice parameters (Å, degrees): 7.5770 4.3733 8.4918 90.00 107.22 90.00
With the nearest neighbours (Å) after each atom.
Sites, in units of the cell vectors:
Cs1 0.0000 0.0000 0.0000  6 S 3.61
Cs2 0.5000 0.5000 0.0000  6 S 3.53
Ac1 0.0000 0.5000 0.5000  6 S 3.00-3.01
Nd1 0.5000 0.0000 0.5000  6 S 2.89-2.92
S1 0.2407 0.0000 0.6905  1 Nd 2.89, 2 Ac 3.00
S2 0.2806 0.5000 0.3129  2 Nd 2.92, 1 Ac 3.01
S3 0.7194 0.5000 0.6871  2 Nd 2.92, 1 Ac 3.01
S4 0.7593 0.0000 0.3095  1 Nd 2.89, 2 Ac 3.00

Values from the calculation:
As for the raw formation energy: -1.83 eV per atom. As for the density of states at the Fermi level: 0.00 states/eV per atom. The calculation puts the magnetization at 0.00 μB/f.u.